Material: MgBe6
Method: DFT, PBE
State: relaxed

Unit cell a=7.0240 b=4.3025 c=9.0360 alpha=90.00 beta=90.00 gamma=90.00
Fractional coordinates of all 28 atoms:
Mg1 0.2427 0.2500 0.0662
Mg2 0.2573 0.7500 0.5662
Mg3 0.7427 0.2500 0.4338
Mg4 0.7573 0.7500 0.9338
Be1 0.0540 0.7500 0.1041
Be2 0.0623 0.9996 0.3114
Be3 0.0623 0.5004 0.3114
Be4 0.0885 0.2500 0.5143
Be5 0.1462 0.7500 0.8592
Be6 0.1886 0.2500 0.7423
Be7 0.3114 0.7500 0.2423
Be8 0.3538 0.2500 0.3592
Be9 0.4115 0.7500 0.0143
Be10 0.4377 0.0004 0.8114
Be11 0.4377 0.4996 0.8114
Be12 0.4460 0.2500 0.6041
Be13 0.5540 0.7500 0.3959
Be14 0.5623 0.9996 0.1886
Be15 0.5623 0.5004 0.1886
Be16 0.5885 0.2500 0.9857
Be17 0.6462 0.7500 0.6408
Be18 0.6886 0.2500 0.7577
Be19 0.8114 0.7500 0.2577
Be20 0.8538 0.2500 0.1408
Be21 0.9115 0.7500 0.4857
Be22 0.9377 0.0004 0.6886
Be23 0.9377 0.4996 0.6886
Be24 0.9460 0.2500 0.8959

Results
* crystal system: orthorhombic
* distance to the lowest polymorph of the same formula: 0 meV per atom
* ρ: 1.91 g/cm3
* M_tot: 0.0 μB/f.u.
* E_form: 0.07 eV/atom